Entry 1:
Compound: YSb2Ru
Source: Alexandria via LeMat-Bulk
Functional: GGA-PBE
Structure: relaxed

Output
Symmetry: Immm
D(E_F), states/eV/cell: 3.184
Formation energy from raw total energies, eV per atom: -0.262
Crystal system: orthorhombic
Total magnetization, μB per formula unit: 0.00

a b c (Å): 5.939 5.939 5.939
angles (deg): 147.69 124.24 65.93
Atoms (fractional coordinates):
Ru  0.750  0.250  0.500
Sb  0.960  0.960  0.000
Sb  0.540  0.540  0.000
Y  0.250  0.750  0.500



Entry 2:
Compound: LiHoSc2
Source: Alexandria via LeMat-Bulk
Functional: GGA-PBE
Structure: relaxed

Output
Symmetry: R-3m
D(E_F), states/eV/cell: 6.451
Crystal system: trigonal
E_form, eV/atom: 0.15
Total magnetization, μB per formula unit: 0.04

a b c (Å): 3.314 3.314 10.820
angles (deg): 81.19 81.19 60.00
Atoms (fractional coordinates):
Sc  0.747  0.747  0.758
Sc  0.253  0.253  0.242
Ho  0.500  0.500  0.500
Li  0.000  0.000  0.000



Entry 3:
Compound: Rb2AsBrF6
Source: Alexandria via LeMat-Bulk
Functional: GGA-PBE
Structure: relaxed

Output
Symmetry: Fm-3m
D(E_F), states/eV/cell: 0.000
Formation energy from raw total energies, eV per atom: -2.183
Crystal system: cubic
Total magnetization, μB per formula unit: 0.00

a b c (Å): 6.859 6.859 6.859
angles (deg): 60.00 60.00 90.00
Atoms (fractional coordinates):
As  0.500  0.500  0.000
Br  0.000  0.000  0.000
Rb  0.750  0.250  0.500
Rb  0.250  0.750  0.500
F  0.315  0.315  0.369
F  0.685  0.685  0.631
F  0.315  0.315  0.000
F  0.685  0.685  0.000
F  0.685  0.315  0.000
F  0.315  0.685  0.000